A geometry-optimized MnO structure. Source: the Alexandria database, functional PBE+U.

Values from the calculation:
Calculated volume, A^3/atom: 17.526
Uncorrected energy, eV per formula unit: -15.472
Crystal system: cubic

a = 5.9469 Å, b = 5.9469 Å, c = 5.9469 Å
α = 90.00°, β = 90.00°, γ = 90.00°
Element x y z (fractional)
Mn 0.0000 0.2500 0.5000
Mn 0.0000 0.7500 0.5000
Mn 0.2500 0.5000 0.0000
Mn 0.5000 0.0000 0.2500
Mn 0.5000 0.0000 0.7500
Mn 0.7500 0.5000 0.0000
O 0.0000 0.5000 0.2500
O 0.0000 0.5000 0.7500
O 0.2500 0.0000 0.5000
O 0.5000 0.2500 0.0000
O 0.5000 0.7500 0.0000
O 0.7500 0.0000 0.5000